w | DFT (PBE-GGA) results for a relaxed structure of KSnSbTe2.

Calculated values
ρ (g/cm3): 4.4
Density of states at the Fermi level (states/eV/cell): 7.37
Crystal system: tetragonal

a b c (Å): 5.977 5.977 5.694
angles (deg): 90.00 90.00 90.00
Space group P4/mmm (No. 123)
One atom of each set of equivalent atoms:
K  0.000  0.000  0.000
Sn  0.500  0.500  0.500
Sb  0.000  0.000  0.500
Te  0.000  0.500  0.000

---

x | DFT (PBE-GGA) results for a relaxed structure of KSnSbTe2.

Calculated values
ρ (g/cm3): 4.4
Density of states at the Fermi level (states/eV/cell): 4.57
Crystal system: tetragonal

a b c (Å): 5.919 5.919 5.703
angles (deg): 90.00 90.00 90.00
Space group P4/mmm (No. 123)
One atom of each set of equivalent atoms:
K  0.000  0.000  0.000
Sn  0.500  0.500  0.500
Sb  0.500  0.500  0.000
Te  0.000  0.500  0.500

---

Short version: x, w, most stable first.

---

w | DFT (PBE-GGA) results for a relaxed structure of K3SrSb.

Calculated values
ρ (g/cm3): 1.7
Density of states at the Fermi level (states/eV/cell): 0.03
Crystal system: cubic

a b c (Å): 6.794 6.794 6.794
angles (deg): 90.00 90.00 90.00
Space group Pm-3m (No. 221)
One atom of each set of equivalent atoms:
K  0.000  0.000  0.500
Sr  0.500  0.500  0.500
Sb  0.000  0.000  0.000

---

x | DFT (PBE-GGA) results for a relaxed structure of K3SrSb.

Calculated values
ρ (g/cm3): 1.6
Density of states at the Fermi level (states/eV/cell): 0.00
Crystal system: cubic

a b c (Å): 6.974 6.974 6.974
angles (deg): 90.00 90.00 90.00
Space group Pm-3m (No. 221)
One atom of each set of equivalent atoms:
K  0.000  0.000  0.500
Sr  0.000  0.000  0.000
Sb  0.500  0.500  0.500

---

Short version: w, x, most stable first.

---

w | DFT (PBE-GGA) results for a relaxed structure of KSrSb2.

Calculated values
ρ (g/cm3): 4.4
Density of states at the Fermi level (states/eV/cell): 2.95
Crystal system: orthorhombic

a b c (Å): 3.359 6.099 6.886
angles (deg): 90.00 90.00 90.00
Space group Pmmm (No. 47)
One atom of each set of equivalent atoms:
K  0.000  0.000  0.000
Sr  0.500  0.500  0.500
Sb  0.000  0.000  0.500
Sb  0.500  0.500  0.000

---

x | DFT (PBE-GGA) results for a relaxed structure of KSrSb2.

Calculated values
ρ (g/cm3): 4.8
Density of states at the Fermi level (states/eV/cell): 4.19
Crystal system: orthorhombic

a b c (Å): 7.181 7.349 9.774
angles (deg): 90.00 90.00 90.00
Space group Fmmm (No. 69)
One atom of each set of equivalent atoms:
K  0.000  0.000  0.000
Sr  0.000  0.000  0.500
Sb  0.250  0.250  0.250

---

Short version: x, w, most stable first.

---

w | DFT (PBE-GGA) results for a relaxed structure of KSrSb2.

Calculated values
ρ (g/cm3): 4.3
Density of states at the Fermi level (states/eV/cell): 21.18
Crystal system: tetragonal

a b c (Å): 9.274 9.274 6.597
angles (deg): 90.00 90.00 90.00
Space group I-42d (No. 122)
One atom of each set of equivalent atoms:
K  0.000  0.000  0.000
Sr  0.000  0.000  0.500
Sb  0.242  0.250  0.625

---

x | DFT (PBE-GGA) results for a relaxed structure of KSrSb2.

Calculated values
ρ (g/cm3): 3.8
Density of states at the Fermi level (states/eV/cell): 3.07
Crystal system: monoclinic

a b c (Å): 10.848 4.347 7.244
angles (deg): 90.00 110.09 90.00
Space group C2/m (No. 12)
One atom of each set of equivalent atoms:
K  0.000  0.000  0.000
Sr  0.000  0.500  0.500
Sb  0.249  0.500  0.337

---

Short version: x, w, most stable first.